No. 1
Here is a relaxed PrZn2SiAu2 crystal from the Alexandria database. Energies are from PBE.

Cell lengths 4.6444, 4.6444, 5.8567 Å; angles 90.00, 90.00, 90.00 degrees
With the nearest neighbours (Å) after each atom.
Space group P4/mmm (No. 123)
One atom of each set of equivalent atoms:
Pr: 0.0000 0.0000 0.0000 (multiplicity 1)  2 Si 2.93
Zn: 0.0000 0.5000 0.5000 (multiplicity 2)  2 Si 2.32
Si: 0.0000 0.0000 0.5000 (multiplicity 1)  4 Zn 2.32
Au: 0.5000 0.5000 0.2327 (multiplicity 2)  1 Au 2.73, 4 Zn 2.80

Results
Its density of states at the Fermi level is 4.5 states/eV/f.u. Its raw formation energy is -160 meV/atom.

=====

No. 2
Here is a relaxed BaZrHg2 crystal from the Alexandria database. Energies are from PBE.

Cell lengths 3.6524, 3.6934, 8.2494 Å; angles 90.00, 90.00, 90.00 degrees
With the nearest neighbours (Å) after each atom.
Space group Pmmm (No. 47)
One atom of each set of equivalent atoms:
Ba: 0.0000 0.0000 0.0000 (multiplicity 1)  8 Hg 3.60, 4 Ba 3.65-3.69
Zr: 0.0000 0.0000 0.5000 (multiplicity 1)  8 Hg 3.07
Hg: 0.5000 0.5000 0.3014 (multiplicity 2)  4 Zr 3.07, 1 Hg 3.28

Results
Its density of states at the Fermi level is 3.3 states/eV/f.u. As for the total energy: -2.96 eV per atom.

=====

No. 3
Here is a relaxed NdP2IrRu crystal from the Alexandria database. Energies are from PBE.

Cell lengths 4.0467, 4.0467, 10.0566 Å; angles 90.00, 90.00, 90.00 degrees
With the nearest neighbours (Å) after each atom.
Space group I-4m2 (No. 119)
One atom of each set of equivalent atoms:
Nd: 0.0000 0.0000 0.0000 (multiplicity 2)  8 P 3.11, 4 Ru 3.23, 4 Ir 3.23
P: 0.0000 0.0000 0.3778 (multiplicity 4)  2 Ru 2.40, 2 Ir 2.40, 1 P 2.46
Ir: 0.0000 0.5000 0.2500 (multiplicity 2)  4 P 2.40
Ru: 0.0000 0.5000 0.7500 (multiplicity 2)  4 P 2.40

Results
Its density of states at the Fermi level is 1.7 states/eV/f.u. As for the total energy: -7.69 eV per atom.

=====

No. 4
Here is a relaxed Ac12La3Mg crystal from the Alexandria database. Energies are from PBE.

Cell lengths 5.5222, 5.5222, 22.1729 Å; angles 90.00, 90.00, 90.00 degrees
With the nearest neighbours (Å) after each atom.
Space group P4/mmm (No. 123)
One atom of each set of equivalent atoms:
Ac: 0.0000 0.0000 0.0000 (multiplicity 1)  8 Ac 3.87, 4 Mg 3.90
Ac: 0.0000 0.0000 0.2472 (multiplicity 2)  4 La 3.90, 8 Ac 3.91-3.93
Ac: 0.0000 0.0000 0.5000 (multiplicity 1)  4 La 3.90, 8 Ac 3.94
Ac: 0.0000 0.5000 0.1223 (multiplicity 4)  8 Ac 3.87-3.91, 2 Mg 3.87, 2 La 3.90
Ac: 0.0000 0.5000 0.3735 (multiplicity 4)  8 Ac 3.90-3.94, 4 La 3.94
La: 0.5000 0.5000 0.2467 (multiplicity 2)  12 Ac 3.90-3.94
La: 0.5000 0.5000 0.5000 (multiplicity 1)  12 Ac 3.90-3.94
Mg: 0.5000 0.5000 0.0000 (multiplicity 1)  12 Ac 3.87-3.90

Results
Its density of states at the Fermi level is 24.2 states/eV/f.u. As for the total energy: -4.09 eV per atom.